Material: Cd2Au17
Method: DFT, PBE-GGA
State: relaxed

Properties
- calculated density (g/cm3) = 15.52
- volume (Å³/f.u.) = 382.2
- total DFT energy (no corrections) (eV per atom) = -2.981
- symmetry = R-3m, No. 166
- total magnetic moment (μB/cell) = 0.0

abc: 7.3018 7.3018 7.3018
angles: 83.47 83.47 83.47
Atoms (fractional coordinates):
1 Cd 0.1844 0.1844 0.1844
2 Cd 0.8156 0.8156 0.8156
3 Au 0.0000 0.5000 0.5000
4 Au 0.1562 0.5000 0.8438
5 Au 0.1562 0.8438 0.5000
6 Au 0.1697 0.1697 0.6748
7 Au 0.1697 0.6748 0.1697
8 Au 0.3252 0.8303 0.8303
9 Au 0.3991 0.3991 0.3991
10 Au 0.5000 0.0000 0.5000
11 Au 0.5000 0.1562 0.8438
12 Au 0.5000 0.5000 0.0000
13 Au 0.5000 0.8438 0.1562
14 Au 0.6009 0.6009 0.6009
15 Au 0.6748 0.1697 0.1697
16 Au 0.8303 0.3252 0.8303
17 Au 0.8303 0.8303 0.3252
18 Au 0.8438 0.1562 0.5000
19 Au 0.8438 0.5000 0.1562



Material: IrBr2
Method: DFT, PBE-GGA
State: relaxed

Properties
- calculated density (g/cm3) = 8.32
- volume (Å³/f.u.) = 70.2
- total DFT energy (no corrections) (eV per atom) = -1.968
- symmetry = Fd-3m, No. 227
- total magnetic moment (μB/cell) = 3.2

abc: 5.8344 5.8344 5.8344
angles: 60.00 60.00 60.00
Atoms (fractional coordinates):
1 Ir 0.1250 0.1250 0.1250
2 Ir 0.8750 0.8750 0.8750
3 Br 0.0000 0.5000 0.5000
4 Br 0.5000 0.0000 0.5000
5 Br 0.5000 0.5000 0.0000
6 Br 0.5000 0.5000 0.5000